## Eu3MgH (PBE)

Data for a relaxed Eu3MgH crystal.

Cell lengths 5.210, 5.210, 5.210 Å; angles 90.00, 90.00, 90.00 degrees
Space group Pm-3m (No. 221)
One atom of each set of equivalent atoms:
Eu (0.000, 0.000, 0.500)
Mg (0.500, 0.500, 0.500)
H (0.000, 0.000, 0.000)

**Size of the total moment**: 22.5 μB/f.u.
**Energy**: -7.343 eV/atom
**Crystal system**: cubic